# 1
Entry from Alexandria: a geometry-optimized PmNd12Dy7 structure (PBE).

Calculated values
Fermi-level density of states	34.2	states/eV/f.u.
energy of formation	2.99	eV per formula unit
VASP energy	-4.559	eV per atom
polymorph energy (0 for the lowest one)	0.000	eV/atom

Cell: 15.2882 15.2882 10.1764 Å, 90.00 90.00 120.00°
Space group R-3 (No. 148, hexagonal axes)
One atom of each set of equivalent atoms:
Pm: 0.0000 0.0000 0.0000 [3 per cell]
Nd: 0.0443 0.8443 0.2516 [18 per cell]
Nd: 0.0461 0.7982 0.5762 [18 per cell]
Dy: 0.0000 0.0000 0.5000 [3 per cell]
Dy: 0.0662 0.8206 0.9257 [18 per cell]

***

# 2
Entry from Alexandria: a geometry-optimized Pm7Nd2Dy4 structure (PBE).

Calculated values
Fermi-level density of states	19.3	states/eV/f.u.
energy of formation	0.20	eV per formula unit
VASP energy	-4.692	eV per atom

Cell: 6.2664 6.2802 11.4487 Å, 90.00 100.51 99.53°
Space group P-1 (No. 2)
One atom of each set of equivalent atoms:
Pm: 0.0000 0.0000 0.0000 [1 per cell]
Pm: 0.0783 0.8451 0.3059 [2 per cell]
Pm: 0.2312 0.5400 0.9238 [2 per cell]
Pm: 0.3850 0.2325 0.5390 [2 per cell]
Nd: 0.1540 0.6956 0.6171 [2 per cell]
Dy: 0.3090 0.3843 0.2290 [2 per cell]
Dy: 0.4624 0.0780 0.8476 [2 per cell]

***

# 3
Entry from Alexandria: a geometry-optimized Pm4NdDy7 structure (PBE).

Calculated values
Fermi-level density of states	19.5	states/eV/f.u.
energy of formation	3.07	eV per formula unit
VASP energy	-4.410	eV per atom
polymorph energy (0 for the lowest one)	0.171	eV/atom

Cell: 12.1461 5.9336 12.7843 Å, 90.00 118.01 90.00°
Space group C2/m (No. 12)
One atom of each set of equivalent atoms:
Pm: 0.1353 0.0000 0.2765 [4 per cell]
Pm: 0.2334 0.5000 0.1734 [4 per cell]
Nd: 0.0000 0.5000 0.5000 [2 per cell]
Dy: 0.0000 0.0000 0.5000 [2 per cell]
Dy: 0.0656 0.5000 0.8207 [4 per cell]
Dy: 0.1320 0.0000 0.9981 [4 per cell]
Dy: 0.2108 0.5000 0.4228 [4 per cell]

***

- Number 1 is which compound?
  PmNd12Dy7

***

- What is the VASP energy in the third record?
  -4.410 eV per atom

***

- Among the records above, which one has the highest VASP energy?
  Pm4NdDy7